No. 1
{
  "formula": "K2RbPtRh",
  "functional": "meta-GGA SCAN",
  "state": "single point on PBEsol structure",
  "formation_enthalpy_0k_ev_per_atom": 0.90,
  "dos_at_fermi_per_ev_fu": 6.31,
  "magmom_total_mub_per_atom": 0.04,
  "sg": "P4/mmm (123)",
  "lattice_angstrom": [[5.466, 0.000, 0.000], [0.000, 5.466, 0.000], [0.000, 0.000, 5.242]],
  "species": ["K", "K", "Rb", "Pt", "Rh"],
  "frac_coords": [[0.000, 0.500, 0.000], [0.500, 0.000, 0.000], [0.000, 0.000, 0.500], [0.500, 0.500, 0.500], [0.000, 0.000, 0.000]]
}

=====

No. 2
{
  "formula": "Na2SnO2",
  "functional": "meta-GGA SCAN",
  "state": "single point on PBEsol structure",
  "e_form_raw_ev_per_atom": -1.542,
  "dos_at_fermi_per_ev_fu": 0.00,
  "magmom_total_mub_per_atom": 0.00,
  "sg": "P2_12_12_1 (19)",
  "lattice_angstrom": [[5.104, 0.000, 0.000], [0.000, 6.629, 0.000], [0.000, 0.000, 9.646]],
  "species": ["Na", "Na", "Na", "Na", "Na", "Na", "Na", "Na", "Sn", "Sn", "Sn", "Sn", "O", "O", "O", "O", "O", "O", "O", "O"],
  "frac_coords": [[0.006, 0.124, 0.079], [0.009, 0.130, 0.759], [0.491, 0.870, 0.259], [0.494, 0.876, 0.579], [0.506, 0.376, 0.921], [0.509, 0.370, 0.241], [0.991, 0.630, 0.741], [0.994, 0.624, 0.421], [0.014, 0.602, 0.072], [0.486, 0.398, 0.572], [0.514, 0.898, 0.928], [0.986, 0.102, 0.428], [0.001, 0.893, 0.580], [0.079, 0.343, 0.557], [0.421, 0.657, 0.057], [0.499, 0.107, 0.080], [0.501, 0.607, 0.420], [0.579, 0.157, 0.443], [0.921, 0.843, 0.943], [0.999, 0.393, 0.920]]
}

=====

No. 3
{
  "formula": "HfAg2Ru",
  "functional": "meta-GGA SCAN",
  "state": "single point on PBEsol structure",
  "formation_enthalpy_0k_ev_per_atom": 0.28,
  "dos_at_fermi_per_ev_fu": 3.48,
  "magmom_total_mub_per_atom": 0.00,
  "sg": "Fm-3m (225)",
  "lattice_angstrom": [[6.425, 0.000, 0.000], [0.000, 6.425, 0.000], [0.000, 0.000, 6.425]],
  "species": ["Hf", "Hf", "Hf", "Hf", "Ag", "Ag", "Ag", "Ag", "Ag", "Ag", "Ag", "Ag", "Ru", "Ru", "Ru", "Ru"],
  "frac_coords": [[0.000, 0.000, 0.000], [0.000, 0.500, 0.500], [0.500, 0.000, 0.500], [0.500, 0.500, 0.000], [0.250, 0.250, 0.250], [0.250, 0.250, 0.750], [0.250, 0.750, 0.250], [0.250, 0.750, 0.750], [0.750, 0.250, 0.250], [0.750, 0.250, 0.750], [0.750, 0.750, 0.250], [0.750, 0.750, 0.750], [0.000, 0.000, 0.500], [0.000, 0.500, 0.000], [0.500, 0.000, 0.000], [0.500, 0.500, 0.500]]
}

=====

No. 4
{
  "formula": "Mg2Ag2Se",
  "functional": "meta-GGA SCAN",
  "state": "single point on PBEsol structure",
  "e_form_raw_ev_per_atom": -0.302,
  "dos_at_fermi_per_ev_fu": 1.35,
  "magmom_total_mub_per_atom": 0.00,
  "sg": "I4/mmm (139)",
  "lattice_angstrom": [[3.695, 0.000, 0.000], [0.000, 3.695, 0.000], [0.000, 0.000, 14.941]],
  "species": ["Mg", "Mg", "Mg", "Mg", "Ag", "Ag", "Ag", "Ag", "Se", "Se"],
  "frac_coords": [[0.000, 0.000, 0.101], [0.000, 0.000, 0.899], [0.500, 0.500, 0.399], [0.500, 0.500, 0.601], [0.000, 0.500, 0.250], [0.000, 0.500, 0.750], [0.500, 0.000, 0.250], [0.500, 0.000, 0.750], [0.000, 0.000, 0.500], [0.500, 0.500, 0.000]]
}

=====

No. 5
{
  "formula": "Be2IrPb",
  "functional": "meta-GGA SCAN",
  "state": "single point on PBEsol structure",
  "formation_enthalpy_0k_ev_per_atom": 0.55,
  "dos_at_fermi_per_ev_fu": 1.63,
  "magmom_total_mub_per_atom": 0.00,
  "sg": "F-43m (216)",
  "lattice_angstrom": [[6.148, 0.000, 0.000], [0.000, 6.148, 0.000], [0.000, 0.000, 6.148]],
  "species": ["Be", "Be", "Be", "Be", "Be", "Be", "Be", "Be", "Ir", "Ir", "Ir", "Ir", "Pb", "Pb", "Pb", "Pb"],
  "frac_coords": [[0.000, 0.000, 0.000], [0.000, 0.500, 0.500], [0.250, 0.250, 0.250], [0.250, 0.750, 0.750], [0.500, 0.000, 0.500], [0.500, 0.500, 0.000], [0.750, 0.250, 0.750], [0.750, 0.750, 0.250], [0.250, 0.250, 0.750], [0.250, 0.750, 0.250], [0.750, 0.250, 0.250], [0.750, 0.750, 0.750], [0.000, 0.000, 0.500], [0.000, 0.500, 0.000], [0.500, 0.000, 0.000], [0.500, 0.500, 0.500]]
}

=====

No. 6
{
  "formula": "YZnAgOs2",
  "functional": "meta-GGA SCAN",
  "state": "single point on PBEsol structure",
  "formation_enthalpy_0k_ev_per_atom": 1.43,
  "dos_at_fermi_per_ev_fu": 5.38,
  "magmom_total_mub_per_atom": 0.42,
  "sg": "P4/mmm (123)",
  "lattice_angstrom": [[4.840, 0.000, 0.000], [0.000, 4.840, 0.000], [0.000, 0.000, 4.450]],
  "species": ["Y", "Zn", "Ag", "Os", "Os"],
  "frac_coords": [[0.000, 0.000, 0.000], [0.500, 0.500, 0.000], [0.500, 0.500, 0.500], [0.000, 0.500, 0.500], [0.500, 0.000, 0.500]]
}